{
  "formula": "ZnCrMo2",
  "functional": "PBE-GGA",
  "state": "relaxed",
  "lattice": [[-1.330, 1.989, 1.142], [0.880, -0.777, 2.377], [6.678, 4.953, -0.853]],
  "species": ["Mo", "Mo", "Cr", "Zn"],
  "fractional_positions": [[0.000, 0.000, 0.505], [0.000, 0.000, 0.995], [0.500, 0.500, 0.750], [0.500, 0.500, 0.250]],
  "space_group": "P4/mmm (123)",
  "energy_ev_per_atom": -7.85,
  "delta_e_f_ev_per_atom": 0.290
}

{
  "formula": "NaVIn2",
  "functional": "PBE-GGA",
  "state": "relaxed",
  "lattice": [[0.000, 3.496, 3.496], [3.496, 0.000, 3.496], [3.496, 3.496, 0.000]],
  "species": ["Na", "In", "In", "V"],
  "fractional_positions": [[0.000, 0.000, 0.000], [0.750, 0.750, 0.750], [0.250, 0.250, 0.250], [0.500, 0.500, 0.500]],
  "space_group": "Fm-3m (225)",
  "energy_ev_per_atom": -3.74,
  "delta_e_f_ev_per_atom": 0.243
}

{
  "formula": "AcSm2Y9",
  "functional": "PBE-GGA",
  "state": "relaxed",
  "lattice": [[-0.567, 4.620, -2.109], [-5.049, -0.284, 0.734], [1.643, 6.507, 13.816]],
  "species": ["Sm", "Sm", "Y", "Y", "Y", "Y", "Y", "Y", "Y", "Y", "Y", "Ac"],
  "fractional_positions": [[0.000, 0.000, 0.335], [0.000, 0.000, 0.665], [0.500, 0.500, 0.664], [0.000, 0.500, 0.827], [0.500, 0.500, 0.336], [0.500, 0.000, 0.500], [0.000, 0.500, 0.500], [0.000, 0.500, 0.173], [0.500, 0.000, 0.827], [0.500, 0.500, 0.000], [0.500, 0.000, 0.173], [0.000, 0.000, 0.000]],
  "space_group": "P4/mmm (123)",
  "energy_ev_per_atom": -5.94,
  "delta_e_f_ev_per_atom": 0.034
}

{
  "formula": "KSc2CdSe",
  "functional": "PBE-GGA",
  "state": "relaxed",
  "lattice": [[-4.424, -1.319, -2.796], [3.057, 0.289, -4.974], [1.261, -5.227, 0.471]],
  "species": ["Se", "Sc", "Sc", "Cd", "K"],
  "fractional_positions": [[0.000, 0.500, 0.000], [0.000, 0.000, 0.500], [0.500, 0.000, 0.000], [0.000, 0.000, 0.000], [0.500, 0.500, 0.500]],
  "space_group": "P4/mmm (123)",
  "energy_ev_per_atom": -3.24,
  "raw_formation_energy_ev_per_fu": 1.96
}

{
  "formula": "Sm4Co2Cl5",
  "functional": "PBE-GGA",
  "state": "relaxed",
  "lattice": [[3.869, 0.000, -0.880], [-0.735, 7.263, -3.231], [0.278, 0.165, 10.170]],
  "species": ["Cl", "Cl", "Cl", "Cl", "Cl", "Co", "Co", "Sm", "Sm", "Sm", "Sm"],
  "fractional_positions": [[0.826, 0.588, 0.653], [0.500, 0.000, 0.000], [0.174, 0.935, 0.347], [0.174, 0.412, 0.347], [0.826, 0.065, 0.653], [0.442, 0.442, 0.885], [0.558, 0.558, 0.115], [0.687, 0.687, 0.374], [0.000, 0.720, 0.000], [0.313, 0.313, 0.626], [0.000, 0.280, 0.000]],
  "space_group": "Immm (71)",
  "energy_ev_per_atom": -5.05,
  "raw_formation_energy_ev_per_fu": -13.27
}

{
  "formula": "VSbPb2I",
  "functional": "PBE-GGA",
  "state": "relaxed",
  "lattice": [[-4.642, 3.165, 1.897], [1.304, -1.419, 5.560], [3.448, 4.807, 0.418]],
  "species": ["Pb", "Pb", "V", "I", "Sb"],
  "fractional_positions": [[0.000, 0.000, 0.500], [0.500, 0.000, 0.000], [0.500, 0.500, 0.500], [0.000, 0.500, 0.000], [0.000, 0.000, 0.000]],
  "space_group": "P4/mmm (123)",
  "energy_ev_per_atom": -3.09,
  "raw_formation_energy_ev_per_fu": 6.75
}

{
  "formula": "KIn3Pd3",
  "functional": "PBE-GGA",
  "state": "relaxed",
  "lattice": [[7.452, 0.000, 0.000], [0.000, 7.452, 0.000], [0.000, 0.000, 7.452]],
  "species": ["In", "In", "In", "In", "In", "In", "Pd", "Pd", "Pd", "Pd", "Pd", "Pd", "K", "K"],
  "fractional_positions": [[0.000, 0.750, 0.500], [0.000, 0.250, 0.500], [0.250, 0.500, 0.000], [0.500, 0.000, 0.250], [0.500, 0.000, 0.750], [0.750, 0.500, 0.000], [0.500, 0.250, 0.000], [0.000, 0.500, 0.250], [0.750, 0.000, 0.500], [0.250, 0.000, 0.500], [0.000, 0.500, 0.750], [0.500, 0.750, 0.000], [0.500, 0.500, 0.500], [0.000, 0.000, 0.000]],
  "space_group": "Pm-3n (223)",
  "energy_ev_per_atom": -3.70,
  "delta_e_f_ev_per_atom": -0.147
}

{
  "formula": "CaCu2H",
  "functional": "PBE-GGA",
  "state": "relaxed",
  "lattice": [[5.500, 0.000, 0.000], [0.000, 5.500, 0.000], [2.750, 2.750, 3.930]],
  "species": ["Cu", "Cu", "Cu", "Cu", "H", "H", "Ca", "Ca"],
  "fractional_positions": [[0.375, 0.125, 0.250], [0.375, 0.625, 0.750], [0.375, 0.625, 0.250], [0.875, 0.625, 0.750], [0.250, 0.750, 0.500], [0.500, 0.500, 0.000], [0.750, 0.250, 0.500], [0.000, 0.000, 0.000]],
  "space_group": "I4_1/amd (141)",
  "energy_ev_per_atom": -3.36,
  "relative_energy_mev_per_atom": 0
}

{
  "formula": "Ta3Ni3HRu2",
  "functional": "PBE-GGA",
  "state": "relaxed",
  "lattice": [[-2.025, -0.482, 2.280], [1.243, -6.619, -0.296], [3.652, 3.936, 4.076]],
  "species": ["Ni", "Ni", "Ni", "H", "Ru", "Ru", "Ta", "Ta", "Ta"],
  "fractional_positions": [[0.500, 0.781, 0.000], [0.500, 0.219, 0.219], [0.500, 0.000, 0.781], [0.000, 0.000, 0.000], [0.500, 0.333, 0.667], [0.500, 0.667, 0.333], [0.000, 0.000, 0.377], [0.000, 0.377, 0.000], [0.000, 0.623, 0.623]],
  "space_group": "P-62m (189)",
  "energy_ev_per_atom": -8.39
}

{
  "formula": "KTaO3",
  "functional": "PBE-GGA",
  "state": "relaxed",
  "lattice": [[5.094, 0.000, 1.304], [0.000, 5.612, 0.000], [-0.632, 0.000, 5.923]],
  "species": ["O", "O", "O", "O", "O", "O", "Ta", "Ta", "K", "K"],
  "fractional_positions": [[0.779, 0.498, 0.119], [0.221, 0.998, 0.881], [0.779, 0.002, 0.119], [0.806, 0.750, 0.653], [0.194, 0.250, 0.347], [0.221, 0.502, 0.881], [0.945, 0.750, 0.914], [0.055, 0.250, 0.086], [0.386, 0.750, 0.382], [0.614, 0.250, 0.618]],
  "space_group": "P2_1/m (11)",
  "energy_ev_per_atom": -8.11,
  "raw_formation_energy_ev_per_fu": -12.75
}

{
  "formula": "LiNbI2",
  "functional": "PBE-GGA",
  "state": "relaxed",
  "lattice": [[-4.152, -4.916, -1.785], [4.185, -1.756, -4.899], [2.952, -7.234, 0.563]],
  "species": ["I", "I", "I", "I", "Li", "Li", "Nb", "Nb"],
  "fractional_positions": [[0.607, 0.125, 0.250], [0.143, 0.625, 0.250], [0.875, 0.857, 0.750], [0.375, 0.393, 0.750], [0.500, 0.500, 0.000], [0.250, 0.750, 0.500], [0.000, 0.000, 0.000], [0.750, 0.250, 0.500]],
  "space_group": "I-42d (122)",
  "energy_ev_per_atom": -3.69,
  "raw_formation_energy_ev_per_fu": 0.31,
  "relative_energy_mev_per_atom": 0
}

{
  "formula": "Dy2TcNi",
  "functional": "PBE-GGA",
  "state": "relaxed",
  "lattice": [[-0.661, 1.614, -2.782], [1.949, -0.371, -2.616], [-4.765, -6.653, -4.668]],
  "species": ["Tc", "Dy", "Dy", "Ni"],
  "fractional_positions": [[0.000, 0.000, 0.000], [0.096, 0.096, 0.713], [0.904, 0.904, 0.287], [0.500, 0.500, 0.500]],
  "space_group": "R-3m (166)",
  "energy_ev_per_atom": -5.76,
  "delta_e_f_ev_per_atom": 0.578
}